VASP calculation (GGA-PBEsol) on crystalline SrTc2As at its relaxed geometry.

Summary:
E_form   0.589 eV per atom
Size of the total moment   0.00 μB per cell
DOS(E_F)   3.2 states/eV/f.u.

Cell lengths 3.161, 3.161, 8.654 Å; angles 79.48, 79.48, 60.00 degrees
Positions (direct):
Sr (0.000, 0.000, 0.000)
As (0.500, 0.500, 0.500)
Tc (0.233, 0.233, 0.302)
Tc (0.767, 0.767, 0.698)